A plane-wave DFT calculation with GGA+U was carried out for a geometry-optimized TcNiOF2 structure.

For the total moment, the calculation gives 7.00 Bohr magnetons per cell. As for the total energy: -25.547 eV/cell.

It has space group P4/mmm (No. 123), with a = 3.874 Å, b = 3.874 Å, c = 4.126 Å, α = 90.00°, β = 90.00° and γ = 90.00°. The inequivalent atoms are Tc at (0.000, 0.000, 0.000), Ni at (0.500, 0.500, 0.500), O at (0.500, 0.500, 0.000) and F at (0.000, 0.500, 0.500).